Computed, not measured: crystalline K2MgPaSe4 at its relaxed geometry at the PBE-GGA level of DFT.

Cell lengths 7.1689, 4.1923, 8.0671 Å; angles 90.00, 107.78, 90.00 degrees
Fractional positions:
K 0.0000 0.0000 0.0000
K 0.5000 0.5000 0.0000
Mg 0.0000 0.5000 0.5000
Pa 0.5000 0.0000 0.5000
Se 0.2287 0.0000 0.6951
Se 0.2635 0.5000 0.2922
Se 0.7365 0.5000 0.7078
Se 0.7713 0.0000 0.3049

## Properties
Calculated volume, Å³/atom: 28.86
Uncorrected formation energy, eV/atom: -1.337
Electronic total energy, eV per cell: -37.9
Magnetization, Bohr magnetons per cell: 1.00
Crystal system: monoclinic